Record 1
A relaxed K2SrCa crystal. Source: the Alexandria database, functional PBEsol.

## Properties
DFT formation energy: 4.02 kcal/mol of atoms
space-group type: No. 123

Lattice parameters (Å, degrees): 4.0561 4.0561 13.3788 90.00 90.00 90.00
Element x y z (fractional)
K (0.0000, 0.0000, 0.2413)
K (0.0000, 0.0000, 0.7587)
Sr (0.5000, 0.5000, 0.5000)
Ca (0.5000, 0.5000, 0.0000)

Record 2
A relaxed RbNa2GaCo crystal. Source: the Alexandria database, functional PBEsol.

## Properties
DFT formation energy: 8.59 kcal/mol of atoms
space-group type: No. 123

Lattice parameters (Å, degrees): 5.5307 5.5307 4.6021 90.00 90.00 90.00
Element x y z (fractional)
Rb (0.0000, 0.0000, 0.0000)
Na (0.0000, 0.5000, 0.5000)
Na (0.5000, 0.0000, 0.5000)
Ga (0.5000, 0.5000, 0.0000)
Co (0.5000, 0.5000, 0.5000)

Record 3
A relaxed ScAg4 crystal. Source: the Alexandria database, functional PBEsol.

## Properties
DFT formation energy: -3.70 kcal/mol of atoms
space-group type: No. 71

Lattice parameters (Å, degrees): 7.7008 7.7008 7.7008 154.87 153.14 37.11
Element x y z (fractional)
Sc (0.0000, 0.0000, 0.0000)
Ag (0.2012, 0.2012, 0.0000)
Ag (0.3979, 0.3979, 0.0000)
Ag (0.6021, 0.6021, 0.0000)
Ag (0.7988, 0.7988, 0.0000)

Record 4
A relaxed KSi3Rh crystal. Source: the Alexandria database, functional PBEsol.

## Properties
total DFT energy (no corrections): -4.96 eV/atom
space-group type: No. 221

Lattice parameters (Å, degrees): 4.7030 4.7030 4.7030 90.00 90.00 90.00
Element x y z (fractional)
K (0.0000, 0.0000, 0.0000)
Si (0.0000, 0.5000, 0.5000)
Si (0.5000, 0.0000, 0.5000)
Si (0.5000, 0.5000, 0.0000)
Rh (0.5000, 0.5000, 0.5000)

Record 5
A relaxed Sr2LaTiAg crystal. Source: the Alexandria database, functional PBEsol.

## Properties
DFT formation energy: 14.87 kcal/mol of atoms
space-group type: No. 123

Lattice parameters (Å, degrees): 5.8381 5.8381 5.7913 90.00 90.00 90.00
Element x y z (fractional)
Sr (0.0000, 0.5000, 0.0000)
Sr (0.5000, 0.0000, 0.0000)
La (0.0000, 0.0000, 0.5000)
Ti (0.5000, 0.5000, 0.5000)
Ag (0.0000, 0.0000, 0.0000)

Record 6
A relaxed KIn2TcPt crystal. Source: the Alexandria database, functional PBEsol.

## Properties
DFT formation energy: 6.42 kcal/mol of atoms
space-group type: No. 123

Lattice parameters (Å, degrees): 5.1997 5.1997 4.8111 90.00 90.00 90.00
Element x y z (fractional)
K (0.0000, 0.0000, 0.0000)
In (0.0000, 0.5000, 0.5000)
In (0.5000, 0.0000, 0.5000)
Tc (0.5000, 0.5000, 0.5000)
Pt (0.5000, 0.5000, 0.0000)

Record 7
A relaxed ZrAl2BPb crystal. Source: the Alexandria database, functional PBEsol.

## Properties
DFT formation energy: 23.86 kcal/mol of atoms
space-group type: No. 123

Lattice parameters (Å, degrees): 5.2142 5.2142 4.4478 90.00 90.00 90.00
Element x y z (fractional)
Zr (0.0000, 0.0000, 0.0000)
Al (0.0000, 0.5000, 0.0000)
Al (0.5000, 0.0000, 0.0000)
B (0.0000, 0.0000, 0.5000)
Pb (0.5000, 0.5000, 0.5000)

Record 8
A relaxed K3GeS3 crystal. Source: the Alexandria database, functional PBEsol.

## Properties
total DFT energy (no corrections): -4.12 eV/atom
space-group type: No. 12

Lattice parameters (Å, degrees): 7.5245 7.5245 8.1268 104.83 104.83 109.85
Element x y z (fractional)
K (0.0000, 0.5000, 0.5000)
K (0.1665, 0.8335, 0.0000)
K (0.2845, 0.2845, 0.8155)
K (0.5000, 0.0000, 0.5000)
K (0.7155, 0.7155, 0.1845)
K (0.8335, 0.1665, 0.0000)
Ge (0.3811, 0.3811, 0.3432)
Ge (0.6189, 0.6189, 0.6567)
S (0.1299, 0.1299, 0.3593)
S (0.2545, 0.5506, 0.1978)
S (0.4494, 0.7455, 0.8022)
S (0.5506, 0.2545, 0.1978)
S (0.7455, 0.4494, 0.8022)
S (0.8701, 0.8701, 0.6407)

Record 9
A relaxed ReTcNO2 crystal. Source: the Alexandria database, functional PBEsol.

## Properties
total DFT energy (no corrections): -8.64 eV/atom
space-group type: No. 123

Lattice parameters (Å, degrees): 3.8545 3.8545 3.9194 90.00 90.00 90.00
Element x y z (fractional)
Re (0.0000, 0.0000, 0.0000)
Tc (0.5000, 0.5000, 0.5000)
N (0.0000, 0.0000, 0.5000)
O (0.0000, 0.5000, 0.0000)
O (0.5000, 0.0000, 0.0000)

Record 10
A relaxed TlAsPbAu2 crystal. Source: the Alexandria database, functional PBEsol.

## Properties
DFT formation energy: 15.70 kcal/mol of atoms
space-group type: No. 123

Lattice parameters (Å, degrees): 5.2562 5.2562 5.4351 90.00 90.00 90.00
Element x y z (fractional)
Tl (0.0000, 0.0000, 0.0000)
As (0.5000, 0.5000, 0.0000)
Pb (0.5000, 0.5000, 0.5000)
Au (0.0000, 0.5000, 0.5000)
Au (0.5000, 0.0000, 0.5000)

Record 11
A relaxed AlNi3 crystal. Source: the Alexandria database, functional PBEsol.

## Properties
DFT formation energy: -8.06 kcal/mol of atoms
space-group type: No. 12

Lattice parameters (Å, degrees): 4.3278 4.3278 4.1824 103.06 103.06 35.16
Element x y z (fractional)
Al (0.0000, 0.0000, 0.0000)
Ni (0.2513, 0.2513, 0.7459)
Ni (0.5000, 0.5000, 0.5000)
Ni (0.7487, 0.7487, 0.2541)

Record 12
A relaxed KTlCo3 crystal. Source: the Alexandria database, functional PBEsol.

## Properties
DFT formation energy: 52.68 kcal/mol of atoms
space-group type: No. 221

Lattice parameters (Å, degrees): 4.4151 4.4151 4.4151 90.00 90.00 90.00
Element x y z (fractional)
K (0.0000, 0.0000, 0.0000)
Tl (0.5000, 0.5000, 0.5000)
Co (0.0000, 0.0000, 0.5000)
Co (0.0000, 0.5000, 0.0000)
Co (0.5000, 0.0000, 0.0000)

Computed values of density (unit: g cm⁻³) for the preceding records, in sequence: 1.55 3.07 9.04 3.61 3.95 7.17 4.99 2.45 9.42 9.74 7.69 8.11.